A plane-wave DFT calculation with GGA-PBE was carried out for Fe3AgBi5 after structural relaxation.

Lattice parameters (Å, degrees): 5.473 5.473 8.373 90.00 90.00 120.00
Site moments in Bohr magnetons follow the coordinates.
Sites, in units of the cell vectors:
Bi1 0.333 0.667 0.784  -0.04
Bi2 0.667 0.333 0.216  -0.04
Bi3 0.667 0.333 0.784  -0.04
Bi4 0.000 0.000 0.500  -0.08
Bi5 0.333 0.667 0.216  -0.04
Fe1 0.500 0.500 0.500  2.52
Fe2 0.000 0.500 0.500  2.36
Fe3 0.500 0.000 0.500  2.44
Ag1 0.000 0.000 0.000  -0.02

Final energy, eV/atom: -5.089
Calculated volume, Å³/cell: 217.2



A plane-wave DFT calculation with GGA-PBE was carried out for FeAg2Bi after structural relaxation.

Lattice parameters (Å, degrees): 4.781 4.781 4.781 60.00 60.00 60.00
Site moments in Bohr magnetons follow the coordinates.
Sites, in units of the cell vectors:
Ag1 0.750 0.750 0.750  0.00
Ag2 0.000 0.000 0.000  -0.01
Fe1 0.250 0.250 0.250  2.63
Bi1 0.500 0.500 0.500  -0.04

Final energy, eV/atom: -4.111
Calculated volume, Å³/cell: 77.3



A plane-wave DFT calculation with GGA-PBE was carried out for FeAgBi after structural relaxation.

Lattice parameters (Å, degrees): 4.631 4.631 4.631 60.00 60.00 60.00
Sites, in units of the cell vectors:
Ag1 0.250 0.250 0.250
Bi1 0.000 0.000 0.000
Fe1 0.750 0.750 0.750

Final energy, eV/atom: -4.413
Excess energy over the best structure of this formula in the dataset, eV/atom: 0.0000
Calculated volume, Å³/cell: 70.2



A plane-wave DFT calculation with GGA-PBE was carried out for HfFeAgBi after structural relaxation.

Lattice parameters (Å, degrees): 4.725 4.725 4.725 60.00 60.00 60.00
Sites, in units of the cell vectors:
Hf1 0.500 0.500 0.500
Bi1 0.000 0.000 0.000
Ag1 0.250 0.250 0.250
Fe1 0.750 0.750 0.750

Final energy, eV/atom: -5.968
Excess energy over the best structure of this formula in the dataset, eV/atom: 0.0000
Calculated volume, Å³/cell: 74.6



A plane-wave DFT calculation with GGA-PBE was carried out for HfFeAgBi after structural relaxation.

Lattice parameters (Å, degrees): 4.733 4.733 4.733 60.00 60.00 60.00
Sites, in units of the cell vectors:
Hf1 0.250 0.250 0.250
Fe1 0.750 0.750 0.750
Bi1 0.000 0.000 0.000
Ag1 0.500 0.500 0.500

Final energy, eV/atom: -5.924
Excess energy over the best structure of this formula in the dataset, eV/atom: 0.0434
Calculated volume, Å³/cell: 75.0



A plane-wave DFT calculation with GGA-PBE was carried out for FeAgHgBi after structural relaxation.

Lattice parameters (Å, degrees): 4.908 4.908 4.908 60.00 60.00 60.00
Sites, in units of the cell vectors:
Bi1 0.000 0.000 0.000
Fe1 0.750 0.750 0.750
Ag1 0.250 0.250 0.250
Hg1 0.500 0.500 0.500

Final energy, eV/atom: -3.427
Excess energy over the best structure of this formula in the dataset, eV/atom: 0.0000
Calculated volume, Å³/cell: 83.6



A plane-wave DFT calculation with GGA-PBE was carried out for FeAgBiIr after structural relaxation.

Lattice parameters (Å, degrees): 4.635 4.635 4.635 60.00 60.00 60.00
Sites, in units of the cell vectors:
Ag1 0.500 0.500 0.500
Bi1 0.000 0.000 0.000
Fe1 0.750 0.750 0.750
Ir1 0.250 0.250 0.250

Final energy, eV/atom: -5.517
Excess energy over the best structure of this formula in the dataset, eV/atom: 0.0000
Calculated volume, Å³/cell: 70.4



A plane-wave DFT calculation with GGA-PBE was carried out for LuFeAgBi after structural relaxation.

Lattice parameters (Å, degrees): 4.890 4.890 4.890 60.00 60.00 60.00
Sites, in units of the cell vectors:
Bi1 0.000 0.000 0.000
Ag1 0.250 0.250 0.250
Fe1 0.750 0.750 0.750
Lu1 0.500 0.500 0.500

Final energy, eV/atom: -4.822
Excess energy over the best structure of this formula in the dataset, eV/atom: 0.0229
Calculated volume, Å³/cell: 82.7



A plane-wave DFT calculation with GGA-PBE was carried out for LuFeAgBi after structural relaxation.

Lattice parameters (Å, degrees): 4.938 4.938 4.938 60.00 60.00 60.00
Sites, in units of the cell vectors:
Ag1 0.500 0.500 0.500
Bi1 0.000 0.000 0.000
Fe1 0.750 0.750 0.750
Lu1 0.250 0.250 0.250

Final energy, eV/atom: -4.844
Excess energy over the best structure of this formula in the dataset, eV/atom: 0.0000
Calculated volume, Å³/cell: 85.1



A plane-wave DFT calculation with GGA-PBE was carried out for MgFeAgBi after structural relaxation.

Lattice parameters (Å, degrees): 4.808 4.808 4.808 60.00 60.00 60.00
Sites, in units of the cell vectors:
Mg1 0.250 0.250 0.250
Bi1 0.000 0.000 0.000
Ag1 0.500 0.500 0.500
Fe1 0.750 0.750 0.750

Final energy, eV/atom: -3.877
Excess energy over the best structure of this formula in the dataset, eV/atom: 0.0000
Calculated volume, Å³/cell: 78.6



A plane-wave DFT calculation with GGA-PBE was carried out for FeAgBiOs after structural relaxation.

Lattice parameters (Å, degrees): 4.616 4.616 4.616 60.00 60.00 60.00
Sites, in units of the cell vectors:
Fe1 0.750 0.750 0.750
Os1 0.250 0.250 0.250
Ag1 0.500 0.500 0.500
Bi1 0.000 0.000 0.000

Final energy, eV/atom: -5.792
Excess energy over the best structure of this formula in the dataset, eV/atom: 0.0000
Calculated volume, Å³/cell: 69.6



A plane-wave DFT calculation with GGA-PBE was carried out for FeAgBiPt after structural relaxation.

Lattice parameters (Å, degrees): 4.699 4.699 4.699 60.00 60.00 60.00
Sites, in units of the cell vectors:
Fe1 0.750 0.750 0.750
Bi1 0.000 0.000 0.000
Ag1 0.500 0.500 0.500
Pt1 0.250 0.250 0.250

Final energy, eV/atom: -5.072
Excess energy over the best structure of this formula in the dataset, eV/atom: 0.0000
Calculated volume, Å³/cell: 73.4